[1]
A plane-wave DFT calculation with PBE was carried out for a relaxed SbTeW2 crystal.

a b c (Å): 4.712 4.712 4.712
angles (deg): 60.00 60.00 60.00
Sites, in units of the cell vectors:
Sb 0.000 0.000 0.000
Te 0.500 0.500 0.500
W 0.250 0.250 0.250
W 0.750 0.750 0.750

Size of the total moment, μB/f.u.: 0.0
Energy above the lowest structure with this stoichiometry, kJ/mol of atoms: 40.9
Crystal system: cubic
Symmetry: Fm-3m (225)
E_form (uncorrected), eV per formula unit: 2.81

---

[2]
A plane-wave DFT calculation with PBE was carried out for a relaxed ThSi2Bi2Pt7 crystal.

a b c (Å): 15.465 15.465 15.465
angles (deg): 164.92 164.92 21.39
Sites, in units of the cell vectors:
Th 0.000 0.000 0.000
Si 0.381 0.381 0.000
Si 0.619 0.619 0.000
Bi 0.210 0.210 0.000
Bi 0.790 0.790 0.000
Pt 0.075 0.575 0.500
Pt 0.304 0.304 0.000
Pt 0.425 0.925 0.500
Pt 0.500 0.500 0.000
Pt 0.575 0.075 0.500
Pt 0.696 0.696 0.000
Pt 0.925 0.425 0.500

Size of the total moment, μB/f.u.: 0.0
Crystal system: tetragonal
Symmetry: I4/mmm (139)
E_form (uncorrected), eV per formula unit: -7.96

---

[3]
A plane-wave DFT calculation with PBE was carried out for a relaxed RbAsWBr2 crystal.

a b c (Å): 5.519 5.519 4.867
angles (deg): 90.00 90.00 90.00
Sites, in units of the cell vectors:
Rb 0.000 0.000 0.000
As 0.500 0.500 0.000
W 0.500 0.500 0.500
Br 0.000 0.500 0.500
Br 0.500 0.000 0.500

Size of the total moment, μB/f.u.: 1.7
Energy above the lowest structure with this stoichiometry, kJ/mol of atoms: 0.0
Crystal system: tetragonal
Symmetry: P4/mmm (123)
E_form (uncorrected), eV per formula unit: -1.02

---

[4]
A plane-wave DFT calculation with PBE was carried out for a relaxed Ag6SeS2 crystal.

a b c (Å): 6.568 6.568 8.220
angles (deg): 119.74 119.74 40.90
Sites, in units of the cell vectors:
Ag 0.055 0.055 0.238
Ag 0.283 0.283 0.790
Ag 0.345 0.345 0.478
Ag 0.655 0.655 0.522
Ag 0.717 0.717 0.210
Ag 0.945 0.945 0.762
Se 0.000 0.000 0.500
S 0.181 0.181 0.087
S 0.819 0.819 0.913

Size of the total moment, μB/f.u.: 0.0
Energy above the lowest structure with this stoichiometry, kJ/mol of atoms: 4.8
Crystal system: monoclinic
Symmetry: C2/m (12)
E_form (uncorrected), eV per formula unit: 0.52

---

[5]
A plane-wave DFT calculation with PBE was carried out for a relaxed Sm3SiNi2Pt9 crystal.

a b c (Å): 7.602 7.602 5.902
angles (deg): 90.00 90.00 120.00
Sites, in units of the cell vectors:
Sm 0.000 0.000 0.000
Sm 0.333 0.667 0.670
Sm 0.667 0.333 0.330
Si 0.000 0.000 0.500
Ni 0.333 0.667 0.171
Ni 0.667 0.333 0.829
Pt 0.000 0.500 0.000
Pt 0.163 0.326 0.330
Pt 0.163 0.837 0.330
Pt 0.326 0.163 0.670
Pt 0.500 0.000 0.000
Pt 0.500 0.500 0.000
Pt 0.674 0.837 0.330
Pt 0.837 0.163 0.670
Pt 0.837 0.674 0.670

Size of the total moment, μB/f.u.: 0.0
Crystal system: trigonal
Symmetry: P-3m1 (164)
E_form (uncorrected), eV per formula unit: -7.47

---

[6]
A plane-wave DFT calculation with PBE was carried out for a relaxed HgPbCl3 crystal.

a b c (Å): 5.319 5.319 5.319
angles (deg): 90.00 90.00 90.00
Sites, in units of the cell vectors:
Hg 0.000 0.000 0.000
Pb 0.500 0.500 0.500
Cl 0.000 0.000 0.500
Cl 0.000 0.500 0.000
Cl 0.500 0.000 0.000

Size of the total moment, μB/f.u.: 0.4
Energy above the lowest structure with this stoichiometry, kJ/mol of atoms: 35.1
Crystal system: cubic
Symmetry: Pm-3m (221)
E_form (uncorrected), eV per formula unit: -1.90

---

[7]
A plane-wave DFT calculation with PBE was carried out for a relaxed BeBrCl crystal.

a b c (Å): 7.263 7.263 7.263
angles (deg): 155.01 155.01 35.64
Sites, in units of the cell vectors:
Be 0.000 0.000 0.000
Br 0.389 0.389 0.000
Cl 0.605 0.605 0.000

Size of the total moment, μB/f.u.: 0.0
Energy above the lowest structure with this stoichiometry, kJ/mol of atoms: 103.5
Crystal system: tetragonal
Symmetry: I4mm (107)
E_form (uncorrected), eV per formula unit: -0.25

---

[8]
A plane-wave DFT calculation with PBE was carried out for a relaxed Tb7Tm3Sc2 crystal.

a b c (Å): 11.402 11.402 11.402
angles (deg): 32.66 32.66 32.66
Sites, in units of the cell vectors:
Tb 0.000 0.000 0.000
Tb 0.085 0.085 0.579
Tb 0.085 0.579 0.085
Tb 0.421 0.915 0.915
Tb 0.579 0.085 0.085
Tb 0.915 0.421 0.915
Tb 0.915 0.915 0.421
Tm 0.349 0.349 0.349
Tm 0.500 0.500 0.500
Tm 0.651 0.651 0.651
Sc 0.166 0.166 0.166
Sc 0.834 0.834 0.834

Size of the total moment, μB/f.u.: 0.0
Energy above the lowest structure with this stoichiometry, kJ/mol of atoms: 19.4
Crystal system: trigonal
Symmetry: R-3m (166)

---

[9]
A plane-wave DFT calculation with PBE was carried out for a relaxed Li2MnAlNi crystal.

a b c (Å): 4.126 4.126 4.478
angles (deg): 90.00 90.00 90.00
Sites, in units of the cell vectors:
Li 0.000 0.500 0.000
Li 0.500 0.000 0.000
Mn 0.000 0.000 0.500
Al 0.500 0.500 0.500
Ni 0.500 0.500 0.000

Size of the total moment, μB/f.u.: 0.0
Energy above the lowest structure with this stoichiometry, kJ/mol of atoms: 0.0
Crystal system: tetragonal
Symmetry: P4/mmm (123)

---

[10]
A plane-wave DFT calculation with PBE was carried out for a relaxed AlAuS2 crystal.

a b c (Å): 5.921 5.921 5.921
angles (deg): 104.25 104.25 120.50
Sites, in units of the cell vectors:
Al 0.250 0.750 0.500
Al 0.750 0.250 0.500
Au 0.250 0.250 0.000
Au 0.750 0.750 0.000
S 0.169 0.669 0.838
S 0.331 0.169 0.500
S 0.669 0.831 0.500
S 0.831 0.331 0.162

Size of the total moment, μB/f.u.: 0.0
Crystal system: tetragonal
Symmetry: I4/mcm (140)
E_form (uncorrected), eV per formula unit: -1.42

---

[11]
A plane-wave DFT calculation with PBE was carried out for a relaxed Be2PtW crystal.

a b c (Å): 7.805 7.805 7.805
angles (deg): 20.53 20.53 20.53
Sites, in units of the cell vectors:
Be 0.247 0.247 0.247
Be 0.753 0.753 0.753
Pt 0.500 0.500 0.500
W 0.000 0.000 0.000

Size of the total moment, μB/f.u.: 0.0
Energy above the lowest structure with this stoichiometry, kJ/mol of atoms: 27.7
Crystal system: trigonal
Symmetry: R-3m (166)

---

[12]
A plane-wave DFT calculation with PBE was carried out for a relaxed TaBMo3 crystal.

a b c (Å): 4.235 4.235 4.235
angles (deg): 90.00 90.00 90.00
Sites, in units of the cell vectors:
Ta 0.000 0.000 0.000
B 0.500 0.500 0.500
Mo 0.000 0.500 0.500
Mo 0.500 0.000 0.500
Mo 0.500 0.500 0.000

Size of the total moment, μB/f.u.: 0.0
Energy above the lowest structure with this stoichiometry, kJ/mol of atoms: 0.0
Crystal system: cubic
Symmetry: Pm-3m (221)

---

[13]
A plane-wave DFT calculation with PBE was carried out for a relaxed ZnIrN2F crystal.

a b c (Å): 3.787 3.787 4.696
angles (deg): 90.00 90.00 90.00
Sites, in units of the cell vectors:
Zn 0.000 0.000 0.000
Ir 0.500 0.500 0.500
N 0.000 0.500 0.500
N 0.500 0.000 0.500
F 0.500 0.500 0.000

Size of the total moment, μB/f.u.: 0.0
Energy above the lowest structure with this stoichiometry, kJ/mol of atoms: 0.0
Crystal system: tetragonal
Symmetry: P4/mmm (123)
E_form (uncorrected), eV per formula unit: 2.66

---

[14]
A plane-wave DFT calculation with PBE was carried out for a relaxed CuAsPt2 crystal.

a b c (Å): 4.535 4.535 3.039
angles (deg): 90.00 90.00 102.71
Sites, in units of the cell vectors:
Cu 0.000 0.000 0.000
As 0.500 0.500 0.000
Pt 0.000 0.500 0.500
Pt 0.500 0.000 0.500

Size of the total moment, μB/f.u.: 0.0
Crystal system: orthorhombic
Symmetry: Cmmm (65)
Electronic total energy, Ha/atom: -0.1940

---

[15]
A plane-wave DFT calculation with PBE was carried out for a relaxed PrPt3Rh crystal.

a b c (Å): 7.476 7.476 4.841
angles (deg): 90.00 90.00 120.84
Sites, in units of the cell vectors:
Pr 0.115 0.885 0.750
Pr 0.885 0.115 0.250
Pt 0.091 0.565 0.250
Pt 0.435 0.909 0.250
Pt 0.500 0.500 0.000
Pt 0.500 0.500 0.500
Pt 0.565 0.091 0.750
Pt 0.909 0.435 0.750
Rh 0.321 0.679 0.750
Rh 0.679 0.321 0.250

Size of the total moment, μB/f.u.: 0.0
Crystal system: orthorhombic
Symmetry: Cmcm (63)
Electronic total energy, Ha/atom: -0.2225

---

[16]
A plane-wave DFT calculation with PBE was carried out for a relaxed Zr3TiO crystal.

a b c (Å): 3.219 3.219 8.627
angles (deg): 90.00 90.00 90.00
Sites, in units of the cell vectors:
Zr 0.000 0.000 0.000
Zr 0.500 0.500 0.272
Zr 0.500 0.500 0.728
Ti 0.000 0.000 0.500
O 0.500 0.500 0.000

Size of the total moment, μB/f.u.: 0.0
Energy above the lowest structure with this stoichiometry, kJ/mol of atoms: 5.9
Crystal system: tetragonal
Symmetry: P4/mmm (123)
E_form (uncorrected), eV per formula unit: -4.92

---

[17]
A plane-wave DFT calculation with PBE was carried out for a relaxed PuTl2AgF8 crystal.

a b c (Å): 7.186 7.186 7.186
angles (deg): 129.94 129.94 73.50
Sites, in units of the cell vectors:
Pu 0.000 0.000 0.000
Tl 0.500 0.500 0.000
Tl 0.750 0.250 0.500
Ag 0.250 0.750 0.500
F 0.102 0.094 0.422
F 0.102 0.680 0.008
F 0.320 0.328 0.422
F 0.320 0.898 0.992
F 0.672 0.094 0.992
F 0.672 0.680 0.578
F 0.906 0.328 0.008
F 0.906 0.898 0.578

Size of the total moment, μB/f.u.: 3.0
Crystal system: tetragonal
Symmetry: I-4m2 (119)
E_form (uncorrected), eV per formula unit: -28.26

---

[18]
A plane-wave DFT calculation with PBE was carried out for a relaxed Cs2AcP2Se6 crystal.

a b c (Å): 7.619 7.619 8.857
angles (deg): 115.08 115.08 59.60
Sites, in units of the cell vectors:
Cs 0.218 0.218 0.208
Cs 0.782 0.782 0.792
Ac 0.000 0.000 0.500
P 0.456 0.456 0.837
P 0.544 0.544 0.163
Se 0.217 0.702 0.198
Se 0.259 0.259 0.654
Se 0.298 0.783 0.802
Se 0.702 0.217 0.198
Se 0.741 0.741 0.346
Se 0.783 0.298 0.802

Size of the total moment, μB/f.u.: 0.0
Crystal system: monoclinic
Symmetry: C2/m (12)
E_form (uncorrected), eV per formula unit: -8.90

---

[19]
A plane-wave DFT calculation with PBE was carried out for a relaxed Be4CdAg crystal.

a b c (Å): 4.612 4.612 4.612
angles (deg): 60.00 60.00 60.00
Sites, in units of the cell vectors:
Be 0.376 0.376 0.376
Be 0.376 0.376 0.873
Be 0.376 0.873 0.376
Be 0.873 0.376 0.376
Cd 0.000 0.000 0.000
Ag 0.750 0.750 0.750

Size of the total moment, μB/f.u.: 0.0
Crystal system: cubic
Symmetry: F-43m (216)
Electronic total energy, Ha/atom: -0.1102

---

[20]
A plane-wave DFT calculation with PBE was carried out for a relaxed BaFeIr3 crystal.

a b c (Å): 4.664 4.664 4.664
angles (deg): 90.00 90.00 90.00
Sites, in units of the cell vectors:
Ba 0.000 0.000 0.000
Fe 0.500 0.500 0.500
Ir 0.000 0.500 0.500
Ir 0.500 0.000 0.500
Ir 0.500 0.500 0.000

Size of the total moment, μB/f.u.: 0.0
Crystal system: cubic
Symmetry: Pm-3m (221)
Electronic total energy, Ha/atom: -0.2414

---

[21]
A plane-wave DFT calculation with PBE was carried out for a relaxed Cs3KRh crystal.

a b c (Å): 6.671 6.671 6.671
angles (deg): 90.00 90.00 90.00
Sites, in units of the cell vectors:
Cs 0.000 0.000 0.500
Cs 0.000 0.500 0.000
Cs 0.500 0.000 0.000
K 0.500 0.500 0.500
Rh 0.000 0.000 0.000

Size of the total moment, μB/f.u.: 0.0
Crystal system: cubic
Symmetry: Pm-3m (221)
Electronic total energy, Ha/atom: -0.0651

---

[22]
A plane-wave DFT calculation with PBE was carried out for a relaxed PrThCoRu crystal.

a b c (Å): 4.980 4.980 4.980
angles (deg): 60.00 60.00 60.00
Sites, in units of the cell vectors:
Pr 0.000 0.000 0.000
Th 0.500 0.500 0.500
Co 0.250 0.250 0.250
Ru 0.750 0.750 0.750

Size of the total moment, μB/f.u.: 0.6
Crystal system: cubic
Symmetry: F-43m (216)
Electronic total energy, Ha/atom: -0.2670

---

[23]
A plane-wave DFT calculation with PBE was carried out for a relaxed MgTlCl crystal.

a b c (Å): 16.525 3.475 3.475
angles (deg): 60.01 90.00 90.00
Sites, in units of the cell vectors:
Mg 0.000 0.000 0.000
Mg 0.500 0.220 0.220
Tl 0.341 0.886 0.886
Tl 0.659 0.886 0.886
Cl 0.094 0.333 0.333
Cl 0.906 0.333 0.333

Size of the total moment, μB/f.u.: 0.0
Energy above the lowest structure with this stoichiometry, kJ/mol of atoms: 0.0
Crystal system: orthorhombic
Symmetry: Amm2 (38)
E_form (uncorrected), eV per formula unit: -2.31

---

[24]
A plane-wave DFT calculation with PBE was carried out for a relaxed Tm4SbAsSe2 crystal.

a b c (Å): 7.086 4.121 7.179
angles (deg): 90.00 109.62 90.00
Sites, in units of the cell vectors:
Tm 0.244 0.000 0.236
Tm 0.254 0.500 0.766
Tm 0.746 0.500 0.234
Tm 0.756 0.000 0.764
Sb 0.000 0.000 0.500
As 0.000 0.500 0.000
Se 0.500 0.000 0.000
Se 0.500 0.500 0.500

Size of the total moment, μB/f.u.: 0.0
Crystal system: monoclinic
Symmetry: P2/m (10)
E_form (uncorrected), eV per formula unit: -11.95

---

[25]
A plane-wave DFT calculation with PBE was carried out for a relaxed ScTlB2 crystal.

a b c (Å): 4.374 4.374 4.374
angles (deg): 60.00 60.00 60.00
Sites, in units of the cell vectors:
Sc 0.000 0.000 0.000
Tl 0.500 0.500 0.500
B 0.250 0.250 0.250
B 0.750 0.750 0.750

Size of the total moment, μB/f.u.: 0.0
Energy above the lowest structure with this stoichiometry, kJ/mol of atoms: 12.3
Crystal system: cubic
Symmetry: Fm-3m (225)

---

[26]
A plane-wave DFT calculation with PBE was carried out for a relaxed SrBeRe crystal.

a b c (Å): 4.826 4.826 4.826
angles (deg): 60.00 60.00 60.00
Sites, in units of the cell vectors:
Sr 0.000 0.000 0.000
Be 0.250 0.250 0.250
Re 0.750 0.750 0.750

Size of the total moment, μB/f.u.: 2.9
Energy above the lowest structure with this stoichiometry, kJ/mol of atoms: 169.6
Crystal system: cubic
Symmetry: F-43m (216)